Entry from Alexandria via LeMat-Bulk: a relaxed Li24Mn7Cr5O36 crystal (GGA+U).

Computed properties:
Spin magnetization ... 0.347 μB/atom
Relative energy among the computed polymorphs ... 0 meV per atom
Calculated total energy ... -447.49 eV/cell

Geometry as POSCAR:
```
Li24Mn7Cr5O36
1.0
5.011 0.000 0.000
-0.778 9.717 0.000
-2.500 -1.896 12.927
Li Mn Cr O
24 7 5 36
Cartesian
0.000 0.000 0.000
-1.634 3.889 6.467
-0.761 9.270 2.879
-1.599 3.481 9.310
-0.717 8.865 5.695
-1.570 3.060 12.176
0.057 6.697 3.947
-0.781 0.910 10.400
0.833 4.540 2.105
-0.796 8.426 8.588
0.920 4.094 5.029
-0.688 8.041 11.418
1.823 9.481 1.398
0.963 3.716 7.876
1.701 1.508 6.084
0.097 5.428 12.558
1.728 9.079 4.342
0.891 3.284 10.809
1.742 8.652 7.174
3.398 4.773 0.671
3.458 4.309 3.549
1.850 8.240 10.016
4.229 2.145 1.775
2.603 6.073 8.245
-0.805 1.715 4.665
0.057 7.094 1.050
-0.793 1.301 7.510
0.092 6.268 6.803
0.103 5.881 9.660
2.605 6.491 5.381
1.761 0.717 11.822
-2.389 5.654 11.125
1.775 2.376 0.341
1.676 1.926 3.204
2.537 6.902 2.519
1.691 1.108 8.962
-0.822 5.839 2.230
-1.675 0.036 8.680
0.119 3.430 0.400
-1.516 7.346 6.862
-0.803 5.400 5.314
-1.661 -0.389 11.779
0.121 3.000 3.491
-1.491 6.954 9.919
-1.734 6.497 12.701
-0.073 2.578 6.240
-0.623 5.007 8.082
1.036 1.064 1.658
0.790 0.642 4.410
-0.827 4.600 10.821
0.123 2.185 8.984
0.987 7.979 2.536
1.653 6.030 0.973
0.801 0.224 7.455
0.988 7.540 5.631
0.160 1.774 12.059
2.420 3.235 1.883
0.818 7.133 8.381
1.900 5.629 3.769
1.052 -0.160 10.233
3.331 1.300 0.059
1.699 5.201 6.542
2.617 2.811 4.685
0.987 6.738 11.151
3.330 0.866 3.163
1.692 4.783 9.633
3.476 8.181 1.337
2.625 2.380 7.805
3.478 0.461 5.930
1.850 4.361 12.412
3.307 7.767 4.130
2.471 1.978 10.576
```